## w
Computed, not measured: crystalline TcCSN2 at its relaxed geometry at the PBE level of DFT.

Unit cell a=3.7380 b=3.7380 c=5.1144 alpha=90.00 beta=90.00 gamma=90.00
Closest atoms and distances in Å follow each position.
Fractional coordinates of all 5 atoms:
C 0.5000 0.5000 0.5000  4 S 2.64
S 0.0000 0.0000 0.5000  2 Tc 2.56, 4 C 2.64
Tc 0.0000 0.0000 0.0000  4 N 1.87
N 0.0000 0.5000 0.0000  2 Tc 1.87
N 0.5000 0.0000 0.0000  2 Tc 1.87

Output
Density of states at the Fermi level (states/eV/atom): 0.59

=====

## x
Computed, not measured: crystalline TcCSN2 at its relaxed geometry at the PBE level of DFT.

Unit cell a=3.7926 b=3.7926 c=4.4138 alpha=90.00 beta=90.00 gamma=90.00
Closest atoms and distances in Å follow each position.
Fractional coordinates of all 5 atoms:
C 0.0000 0.0000 0.5000  2 Tc 2.21
S 0.5000 0.5000 0.5000  4 C 2.68, 8 N 2.91
Tc 0.0000 0.0000 0.0000  4 N 1.90
N 0.0000 0.5000 0.0000  2 Tc 1.90
N 0.5000 0.0000 0.0000  2 Tc 1.90

Output
Density of states at the Fermi level (states/eV/atom): 0.65

=====

## y
Computed, not measured: crystalline TcCSN2 at its relaxed geometry at the PBE level of DFT.

Unit cell a=3.5666 b=3.5666 c=3.7163 alpha=90.00 beta=90.00 gamma=90.00
Closest atoms and distances in Å follow each position.
Fractional coordinates of all 5 atoms:
C 0.0000 0.0000 0.0000  4 N 1.78, 2 S 1.86
S 0.0000 0.0000 0.5000  2 C 1.86
Tc 0.5000 0.5000 0.5000  4 S 2.52, 8 N 2.58
N 0.0000 0.5000 0.0000  2 C 1.78
N 0.5000 0.0000 0.0000  2 C 1.78

Output
Density of states at the Fermi level (states/eV/atom): 0.54

=====

Tell me which of them is the least stable. Sure, it is y.

=====

## w
Computed, not measured: crystalline TlCSN2 at its relaxed geometry at the PBE level of DFT.

Unit cell a=4.2304 b=4.2304 c=5.7593 alpha=90.00 beta=90.00 gamma=90.00
Closest atoms and distances in Å follow each position.
Fractional coordinates of all 5 atoms:
C 0.5000 0.5000 0.5000  4 S 2.99
Tl 0.0000 0.0000 0.0000  4 N 2.12
S 0.0000 0.0000 0.5000  2 Tl 2.88, 4 C 2.99
N 0.0000 0.5000 0.0000  2 Tl 2.12
N 0.5000 0.0000 0.0000  2 Tl 2.12

Output
Density of states at the Fermi level (states/eV/atom): 0.96

=====

## x
Computed, not measured: crystalline TlCSN2 at its relaxed geometry at the PBE level of DFT.

Unit cell a=3.8385 b=3.8385 c=4.1565 alpha=90.00 beta=90.00 gamma=90.00
Closest atoms and distances in Å follow each position.
Fractional coordinates of all 5 atoms:
C 0.0000 0.0000 0.0000  4 N 1.92, 2 S 2.08
Tl 0.5000 0.5000 0.5000  4 S 2.71, 8 N 2.83
S 0.0000 0.0000 0.5000  2 C 2.08
N 0.0000 0.5000 0.0000  2 C 1.92
N 0.5000 0.0000 0.0000  2 C 1.92

Output
Density of states at the Fermi level (states/eV/atom): 0.38

=====

Tell me which of them is the least stable. Sure, it is w.

=====

## w
Computed, not measured: crystalline TlCS2N at its relaxed geometry at the PBE level of DFT.

Unit cell a=5.2635 b=5.2635 c=4.3817 alpha=90.00 beta=90.00 gamma=90.00
Closest atoms and distances in Å follow each position.
Fractional coordinates of all 5 atoms:
C 0.5000 0.5000 0.5000  8 S 3.42, 4 N 3.72
Tl 0.0000 0.0000 0.0000  2 N 2.19
S 0.0000 0.5000 0.0000  2 Tl 2.63
S 0.5000 0.0000 0.0000  2 Tl 2.63
N 0.0000 0.0000 0.5000  2 Tl 2.19

Output
Density of states at the Fermi level (states/eV/atom): 0.79

=====

## x
Computed, not measured: crystalline TlCS2N at its relaxed geometry at the PBE level of DFT.

Unit cell a=6.1586 b=6.1586 c=2.4988 alpha=90.00 beta=90.00 gamma=90.00
Closest atoms and distances in Å follow each position.
Fractional coordinates of all 5 atoms:
C 0.0000 0.0000 0.0000  2 N 1.25
Tl 0.5000 0.5000 0.5000  2 Tl 2.50
S 0.0000 0.5000 0.0000  2 S 2.50
S 0.5000 0.0000 0.0000  2 S 2.50
N 0.0000 0.0000 0.5000  2 C 1.25

Output
Density of states at the Fermi level (states/eV/atom): 0.49

=====

Tell me which of them is the least stable. Sure, it is w.

=====

## w
Computed, not measured: crystalline VCS2N at its relaxed geometry at the PBE level of DFT.

Unit cell a=5.2416 b=5.2416 c=2.4837 alpha=90.00 beta=90.00 gamma=90.00
Closest atoms and distances in Å follow each position.
Fractional coordinates of all 5 atoms:
S 0.0000 0.5000 0.0000  2 S 2.48, 2 C 2.62
S 0.5000 0.0000 0.0000  2 S 2.48, 2 C 2.62
N 0.0000 0.0000 0.5000  2 C 1.24
C 0.0000 0.0000 0.0000  2 N 1.24
V 0.5000 0.5000 0.5000  2 V 2.48

Output
Density of states at the Fermi level (states/eV/atom): 0.55

=====

## x
Computed, not measured: crystalline VCS2N at its relaxed geometry at the PBE level of DFT.

Unit cell a=4.6348 b=4.6348 c=3.5817 alpha=90.00 beta=90.00 gamma=90.00
Closest atoms and distances in Å follow each position.
Fractional coordinates of all 5 atoms:
S 0.0000 0.5000 0.0000  2 V 2.32
S 0.5000 0.0000 0.0000  2 V 2.32
N 0.0000 0.0000 0.5000  2 V 1.79
C 0.5000 0.5000 0.5000  8 S 2.93, 4 N 3.28
V 0.0000 0.0000 0.0000  2 N 1.79

Output
Density of states at the Fermi level (states/eV/atom): 0.86

=====

Tell me which of them is the least stable. Sure, it is x.

=====

## w
Computed, not measured: crystalline WCS2N at its relaxed geometry at the PBE level of DFT.

Unit cell a=4.7592 b=4.7592 c=3.8179 alpha=90.00 beta=90.00 gamma=90.00
Closest atoms and distances in Å follow each position.
Fractional coordinates of all 5 atoms:
S 0.0000 0.5000 0.0000  2 W 2.38
S 0.5000 0.0000 0.0000  2 W 2.38
C 0.5000 0.5000 0.5000  8 S 3.05, 4 N 3.37
W 0.0000 0.0000 0.0000  2 N 1.91
N 0.0000 0.0000 0.5000  2 W 1.91

Output
Density of states at the Fermi level (states/eV/atom): 0.51

=====

## x
Computed, not measured: crystalline WCS2N at its relaxed geometry at the PBE level of DFT.

Unit cell a=5.2639 b=5.2639 c=2.4915 alpha=90.00 beta=90.00 gamma=90.00
Closest atoms and distances in Å follow each position.
Fractional coordinates of all 5 atoms:
S 0.0000 0.5000 0.0000  2 S 2.49, 2 C 2.63
S 0.5000 0.0000 0.0000  2 S 2.49, 2 C 2.63
C 0.0000 0.0000 0.0000  2 N 1.25
W 0.5000 0.5000 0.5000  2 W 2.49
N 0.0000 0.0000 0.5000  2 C 1.25

Output
Density of states at the Fermi level (states/eV/atom): 0.66

=====

Tell me which of them is the least stable. Sure, it is w.

=====

## w
Computed, not measured: crystalline YCSN2 at its relaxed geometry at the PBE level of DFT.

Unit cell a=4.5076 b=4.5076 c=5.5375 alpha=90.00 beta=90.00 gamma=90.00
Closest atoms and distances in Å follow each position.
Fractional coordinates of all 5 atoms:
Y 0.0000 0.0000 0.0000  4 N 2.25
S 0.0000 0.0000 0.5000  2 Y 2.77
C 0.5000 0.5000 0.5000  4 S 3.19
N 0.0000 0.5000 0.0000  2 Y 2.25
N 0.5000 0.0000 0.0000  2 Y 2.25

Output
Density of states at the Fermi level (states/eV/atom): 0.60

=====

## x
Computed, not measured: crystalline YCSN2 at its relaxed geometry at the PBE level of DFT.

Unit cell a=3.8683 b=3.8683 c=3.8201 alpha=90.00 beta=90.00 gamma=90.00
Closest atoms and distances in Å follow each position.
Fractional coordinates of all 5 atoms:
Y 0.5000 0.5000 0.5000  8 N 2.72, 4 S 2.74
S 0.0000 0.0000 0.5000  2 C 1.91
C 0.0000 0.0000 0.0000  2 S 1.91, 4 N 1.93
N 0.0000 0.5000 0.0000  2 C 1.93
N 0.5000 0.0000 0.0000  2 C 1.93

Output
Density of states at the Fermi level (states/eV/atom): 0.52

=====

Tell me which of them is the least stable. Sure, it is w.

=====

## w
Computed, not measured: crystalline YCS2N at its relaxed geometry at the PBE level of DFT.

Unit cell a=4.1600 b=4.1600 c=3.9303 alpha=90.00 beta=90.00 gamma=90.00
Closest atoms and distances in Å follow each position.
Fractional coordinates of all 5 atoms:
Y 0.5000 0.5000 0.5000  8 S 2.86, 4 N 2.94
S 0.0000 0.5000 0.0000  2 C 2.08
S 0.5000 0.0000 0.0000  2 C 2.08
C 0.0000 0.0000 0.0000  2 N 1.97, 4 S 2.08
N 0.0000 0.0000 0.5000  2 C 1.97

Output
Density of states at the Fermi level (states/eV/atom): 0.63

=====

## x
Computed, not measured: crystalline YCS2N at its relaxed geometry at the PBE level of DFT.

Unit cell a=5.3281 b=5.3281 c=4.5832 alpha=90.00 beta=90.00 gamma=90.00
Closest atoms and distances in Å follow each position.
Fractional coordinates of all 5 atoms:
Y 0.0000 0.0000 0.0000  2 N 2.29
S 0.0000 0.5000 0.0000  2 Y 2.66
S 0.5000 0.0000 0.0000  2 Y 2.66
C 0.5000 0.5000 0.5000  8 S 3.51, 4 N 3.77
N 0.0000 0.0000 0.5000  2 Y 2.29

Output
Density of states at the Fermi level (states/eV/atom): 0.63

=====

Tell me which of them is the least stable. Sure, it is x.

=====

## w
Computed, not measured: crystalline ZnCS2N at its relaxed geometry at the PBE level of DFT.

Unit cell a=4.7605 b=4.7605 c=3.7441 alpha=90.00 beta=90.00 gamma=90.00
Closest atoms and distances in Å follow each position.
Fractional coordinates of all 5 atoms:
C 0.5000 0.5000 0.5000  8 S 3.03, 4 N 3.37
Zn 0.0000 0.0000 0.0000  2 N 1.87
S 0.0000 0.5000 0.0000  2 Zn 2.38
S 0.5000 0.0000 0.0000  2 Zn 2.38
N 0.0000 0.0000 0.5000  2 Zn 1.87

Output
Density of states at the Fermi level (states/eV/atom): 0.51

=====

## x
Computed, not measured: crystalline ZnCS2N at its relaxed geometry at the PBE level of DFT.

Unit cell a=5.8422 b=5.8422 c=2.4207 alpha=90.00 beta=90.00 gamma=90.00
Closest atoms and distances in Å follow each position.
Fractional coordinates of all 5 atoms:
C 0.0000 0.0000 0.0000  2 N 1.21
Zn 0.5000 0.5000 0.5000  2 Zn 2.42
S 0.0000 0.5000 0.0000  2 S 2.42
S 0.5000 0.0000 0.0000  2 S 2.42
N 0.0000 0.0000 0.5000  2 C 1.21

Output
Density of states at the Fermi level (states/eV/atom): 0.33

=====

Tell me which of them is the least stable. Sure, it is w.